Entry 1:
BaHf2As2 | SCAN | single point on PBEsol structure

The structure in CIF format:
```
data_BaHf2As2
_chemical_formula_sum 'Ba1 Hf2 As2'
_space_group_name_H-M_alt 'P 1'
_space_group_IT_number 1
_cell_length_a 7.458
_cell_length_b 7.458
_cell_length_c 7.458
_cell_angle_alpha 146.77
_cell_angle_beta 146.77
_cell_angle_gamma 47.71
loop_
_space_group_symop_operation_xyz
'x,y,z'
loop_
_atom_site_label
_atom_site_type_symbol
_atom_site_fract_x
_atom_site_fract_y
_atom_site_fract_z
_atom_site_occupancy
Ba1 Ba 0.000 0.000 0.000 1
Hf1 Hf 0.250 0.750 0.500 1
Hf2 Hf 0.750 0.250 0.500 1
As1 As 0.372 0.372 0.000 1
As2 As 0.628 0.628 0.000 1
```

size of the total moment	0.00	μB per formula unit
crystal system	tetragonal
DFT total energy	-41.97	eV per atom



Entry 2:
BaHg2As | SCAN | single point on PBEsol structure

The structure in CIF format:
```
data_BaHg2As
_chemical_formula_sum 'Ba1 Hg2 As1'
_space_group_name_H-M_alt 'P 1'
_space_group_IT_number 1
_cell_length_a 3.709
_cell_length_b 4.052
_cell_length_c 7.177
_cell_angle_alpha 90.00
_cell_angle_beta 90.00
_cell_angle_gamma 90.00
loop_
_space_group_symop_operation_xyz
'x,y,z'
loop_
_atom_site_label
_atom_site_type_symbol
_atom_site_fract_x
_atom_site_fract_y
_atom_site_fract_z
_atom_site_occupancy
Ba1 Ba 0.000 0.000 0.000 1
Hg1 Hg 0.000 0.000 0.520 1
Hg2 Hg 0.500 0.500 0.319 1
As1 As 0.500 0.500 0.725 1
```

size of the total moment	0.00	μB per formula unit
crystal system	orthorhombic
DFT total energy	-49.40	eV per atom